Entry from Alexandria: a relaxed Na2BeNbO4 crystal (PBE).

ΔE_f (raw): -2.096 eV per atom
E_tot: -106.1 eV for the cell shown

Cell and atoms, written as CIF:
```
data_Na2BeNbO4
_symmetry_space_group_name_H-M 'I -4'
_symmetry_Int_Tables_number 82
_cell_length_a 5.4353
_cell_length_b 5.4353
_cell_length_c 6.8512
_cell_angle_alpha 90.00
_cell_angle_beta 90.00
_cell_angle_gamma 90.00
loop_
_symmetry_equiv_pos_as_xyz
'x,y,z'
'y,-x,-z'
'-x,-y,z'
'-y,x,-z'
'x+1/2,y+1/2,z+1/2'
'y+1/2,-x+1/2,-z+1/2'
'-x+1/2,-y+1/2,z+1/2'
'-y+1/2,x+1/2,-z+1/2'
loop_
_atom_site_label
_atom_site_type_symbol
_atom_site_fract_x
_atom_site_fract_y
_atom_site_fract_z
Na1 Na 0.0000 0.0000 0.0000
Na2 Na 0.0000 0.5000 0.2500
Be1 Be 0.0000 0.5000 0.7500
Nb1 Nb 0.0000 0.0000 0.5000
O1 O 0.1474 0.2937 0.6120
```